Entry 1:
A plane-wave DFT calculation with PBE-GGA was carried out for a relaxed SbI2BrO crystal.

Lattice parameters (Å, degrees): 6.0377 6.0377 4.1904 90.00 90.00 90.00
Atoms (fractional coordinates):
I1 0.0000 0.5000 0.0000
I2 0.5000 0.0000 0.0000
Sb1 0.0000 0.0000 0.5000
O1 0.0000 0.0000 0.0000
Br1 0.5000 0.5000 0.5000

## Properties
As for the space group: P4/mmm, No. 123. The energy above the most stable polymorph in this dataset is 411 meV per atom.

***

Entry 2:
A plane-wave DFT calculation with PBE-GGA was carried out for a relaxed Ba2LiAg6Pd crystal.

Lattice parameters (Å, degrees): 7.1703 7.1703 7.1921 59.97 59.97 90.02
Atoms (fractional coordinates):
Ba1 0.2501 0.7499 0.5000
Ba2 0.7499 0.2501 0.5000
Li1 0.5000 0.5000 0.0000
Ag1 0.2621 0.7379 0.0000
Ag2 0.7380 0.7380 0.9997
Ag3 0.2617 0.2617 0.4763
Ag4 0.7379 0.2621 0.0000
Ag5 0.2620 0.2620 0.0003
Ag6 0.7383 0.7383 0.5237
Pd1 0.0000 0.0000 0.0000

## Properties
As for the space group: C2/m, No. 12. The value obtained for the formation energy is -0.543 eV per formula unit.

***

| no. | density (kg/m³) |
| --- | --- |
| 1 | 5125 |
| 2 | 6582 |